Record 1
# NaIn2Ag2 (GGA-PBEsol, relaxed)
# ΔE_f: -75.0 meV per atom
# Crystal system: tetragonal
# Electronic total energy: -2.873 eV per atom
# ρ: 7.35 g cm⁻³
data_NaIn2Ag2
_chemical_formula_sum 'Na2 In4 Ag4'
_space_group_name_H-M_alt 'P 4/m b m'
_space_group_IT_number 127
_space_group_name_Hall '-P 4 2ab'
_cell_length_a 8.3307
_cell_length_b 8.3307
_cell_length_c 3.0508
_cell_angle_alpha 90.00
_cell_angle_beta 90.00
_cell_angle_gamma 90.00
loop_
_atom_site_label
_atom_site_type_symbol
_atom_site_fract_x
_atom_site_fract_y
_atom_site_fract_z
Na1 Na 0.0000 0.0000 0.0000
In1 In 0.1295 0.3705 0.0000
Ag1 Ag 0.1698 0.6698 0.5000

---

Record 2
# NaIn2Ag (GGA-PBEsol, relaxed)
# ΔE_f: -54.5 meV per atom
# Crystal system: cubic
# Electronic total energy: -2.724 eV per atom
# ρ: 7.07 g cm⁻³
data_NaIn2Ag
_chemical_formula_sum 'Na4 In8 Ag4'
_space_group_name_H-M_alt 'F m -3 m'
_space_group_IT_number 225
_space_group_name_Hall '-F 4 2 3'
_cell_length_a 6.9712
_cell_length_b 6.9712
_cell_length_c 6.9712
_cell_angle_alpha 90.00
_cell_angle_beta 90.00
_cell_angle_gamma 90.00
loop_
_atom_site_label
_atom_site_type_symbol
_atom_site_fract_x
_atom_site_fract_y
_atom_site_fract_z
Na1 Na 0.0000 0.0000 0.0000
In1 In 0.2500 0.2500 0.2500
Ag1 Ag 0.0000 0.0000 0.5000

---

Record 3
# NaInAg2Pd (GGA-PBEsol, relaxed)
# ΔE_f: 1016.3 meV per atom
# Crystal system: tetragonal
# Electronic total energy: -2.376 eV per atom
# ρ: 6.95 g cm⁻³
data_NaInAg2Pd
_chemical_formula_sum 'Na1 In1 Ag2 Pd1'
_space_group_name_H-M_alt 'P 4/m m m'
_space_group_IT_number 123
_space_group_name_Hall '-P 4 2'
_cell_length_a 4.6514
_cell_length_b 4.6514
_cell_length_c 5.0762
_cell_angle_alpha 90.00
_cell_angle_beta 90.00
_cell_angle_gamma 90.00
loop_
_atom_site_label
_atom_site_type_symbol
_atom_site_fract_x
_atom_site_fract_y
_atom_site_fract_z
Na1 Na 0.0000 0.0000 0.0000
In1 In 0.0000 0.0000 0.5000
Ag1 Ag 0.0000 0.5000 0.0000
Pd1 Pd 0.5000 0.5000 0.5000

---

Record 4
# Nb3InAg (GGA-PBEsol, relaxed)
# ΔE_f: 1553.5 meV per atom
# Crystal system: cubic
# Electronic total energy: -6.198 eV per atom
# ρ: 7.24 g cm⁻³
data_Nb3InAg
_chemical_formula_sum 'Nb3 In1 Ag1'
_space_group_name_H-M_alt 'P m -3 m'
_space_group_IT_number 221
_space_group_name_Hall '-P 4 2 3'
_cell_length_a 4.8627
_cell_length_b 4.8627
_cell_length_c 4.8627
_cell_angle_alpha 90.00
_cell_angle_beta 90.00
_cell_angle_gamma 90.00
loop_
_atom_site_label
_atom_site_type_symbol
_atom_site_fract_x
_atom_site_fract_y
_atom_site_fract_z
Nb1 Nb 0.0000 0.0000 0.5000
In1 In 0.5000 0.5000 0.5000
Ag1 Ag 0.0000 0.0000 0.0000

---

Record 5
# Nb2ZnInAg (GGA-PBEsol, relaxed)
# ΔE_f: 1268.5 meV per atom
# Crystal system: tetragonal
# Electronic total energy: -4.635 eV per atom
# ρ: 7.06 g cm⁻³
data_Nb2ZnInAg
_chemical_formula_sum 'Nb2 Zn1 In1 Ag1'
_space_group_name_H-M_alt 'P 4/m m m'
_space_group_IT_number 123
_space_group_name_Hall '-P 4 2'
_cell_length_a 4.9464
_cell_length_b 4.9464
_cell_length_c 4.5526
_cell_angle_alpha 90.00
_cell_angle_beta 90.00
_cell_angle_gamma 90.00
loop_
_atom_site_label
_atom_site_type_symbol
_atom_site_fract_x
_atom_site_fract_y
_atom_site_fract_z
Nb1 Nb 0.0000 0.5000 0.0000
Zn1 Zn 0.0000 0.0000 0.5000
In1 In 0.5000 0.5000 0.5000
Ag1 Ag 0.0000 0.0000 0.0000

---

Record 6
# Nd2InAg (GGA-PBEsol, relaxed)
# ΔE_f: -369.5 meV per atom
# Crystal system: cubic
# Electronic total energy: -4.526 eV per atom
# ρ: 7.99 g cm⁻³
data_Nd2InAg
_chemical_formula_sum 'Nd8 In4 Ag4'
_space_group_name_H-M_alt 'F m -3 m'
_space_group_IT_number 225
_space_group_name_Hall '-F 4 2 3'
_cell_length_a 7.5192
_cell_length_b 7.5192
_cell_length_c 7.5192
_cell_angle_alpha 90.00
_cell_angle_beta 90.00
_cell_angle_gamma 90.00
loop_
_atom_site_label
_atom_site_type_symbol
_atom_site_fract_x
_atom_site_fract_y
_atom_site_fract_z
Nd1 Nd 0.2500 0.2500 0.2500
In1 In 0.0000 0.0000 0.0000
Ag1 Ag 0.0000 0.0000 0.5000

---

Record 7
# InNi2Ag (GGA-PBEsol, relaxed)
# ΔE_f: -19.2 meV per atom
# Crystal system: tetragonal
# Electronic total energy: -4.671 eV per atom
# ρ: 10.06 g cm⁻³
data_InNi2Ag
_chemical_formula_sum 'In2 Ni4 Ag2'
_space_group_name_H-M_alt 'I 4/m m m'
_space_group_IT_number 139
_space_group_name_Hall '-I 4 2'
_cell_length_a 4.0462
_cell_length_b 4.0462
_cell_length_c 6.8572
_cell_angle_alpha 90.00
_cell_angle_beta 90.00
_cell_angle_gamma 90.00
loop_
_atom_site_label
_atom_site_type_symbol
_atom_site_fract_x
_atom_site_fract_y
_atom_site_fract_z
In1 In 0.0000 0.0000 0.0000
Ni1 Ni 0.0000 0.5000 0.2500
Ag1 Ag 0.0000 0.0000 0.5000

---

Record 8
# InNi2Ag (GGA-PBEsol, relaxed)
# ΔE_f: 23.5 meV per atom
# Crystal system: orthorhombic
# Electronic total energy: -4.629 eV per atom
# ρ: 10.03 g cm⁻³
data_InNi2Ag
_chemical_formula_sum 'In1 Ni2 Ag1'
_space_group_name_H-M_alt 'P m m m'
_space_group_IT_number 47
_cell_length_a 2.9514
_cell_length_b 3.3686
_cell_length_c 5.6638
_cell_angle_alpha 90.00
_cell_angle_beta 90.00
_cell_angle_gamma 90.00
loop_
_space_group_symop_operation_xyz
'x,y,z'
'-x,-y,-z'
'-x,-y,z'
'x,y,-z'
'x,-y,-z'
'-x,y,z'
'-x,y,-z'
'x,-y,z'
loop_
_atom_site_label
_atom_site_type_symbol
_atom_site_fract_x
_atom_site_fract_y
_atom_site_fract_z
In1 In 0.0000 0.0000 0.0000
Ni1 Ni 0.5000 0.5000 0.2503
Ag1 Ag 0.0000 0.0000 0.5000

---

Record 9
# InNiAg2 (GGA-PBEsol, relaxed)
# ΔE_f: 242.6 meV per atom
# Crystal system: trigonal
# Electronic total energy: -3.698 eV per atom
# ρ: 9.72 g cm⁻³
data_InNiAg2
_chemical_formula_sum 'In3 Ni3 Ag6'
_space_group_name_H-M_alt 'R -3 m'
_space_group_IT_number 166
_space_group_name_Hall '-R 3 2"'
_cell_length_a 2.9236
_cell_length_b 2.9236
_cell_length_c 26.9452
_cell_angle_alpha 90.00
_cell_angle_beta 90.00
_cell_angle_gamma 120.00
loop_
_atom_site_label
_atom_site_type_symbol
_atom_site_fract_x
_atom_site_fract_y
_atom_site_fract_z
In1 In 0.0000 0.0000 0.0000
Ni1 Ni 0.0000 0.0000 0.5000
Ag1 Ag 0.0000 0.0000 0.2416

---

Record 10
# InNi2Ag (GGA-PBEsol, relaxed)
# ΔE_f: 82.5 meV per atom
# Crystal system: orthorhombic
# Electronic total energy: -4.570 eV per atom
# ρ: 9.86 g cm⁻³
data_InNi2Ag
_chemical_formula_sum 'In1 Ni2 Ag1'
_space_group_name_H-M_alt 'P m m 2'
_space_group_IT_number 25
_cell_length_a 2.9907
_cell_length_b 3.0013
_cell_length_c 6.3785
_cell_angle_alpha 90.00
_cell_angle_beta 90.00
_cell_angle_gamma 90.00
loop_
_space_group_symop_operation_xyz
'x,y,z'
'-x,-y,z'
'-x,y,z'
'x,-y,z'
loop_
_atom_site_label
_atom_site_type_symbol
_atom_site_fract_x
_atom_site_fract_y
_atom_site_fract_z
In1 In 0.0000 0.0000 0.0000
Ni1 Ni 0.0000 0.0000 0.5649
Ni2 Ni 0.5000 0.5000 0.7535
Ag1 Ag 0.5000 0.5000 0.3183

---

Record 11
# InNiAg2 (GGA-PBEsol, relaxed)
# ΔE_f: 20.5 meV per atom
# Crystal system: tetragonal
# Electronic total energy: -3.920 eV per atom
# ρ: 10.18 g cm⁻³
data_InNiAg2
_chemical_formula_sum 'In2 Ni2 Ag4'
_space_group_name_H-M_alt 'I -4 m 2'
_space_group_IT_number 119
_space_group_name_Hall 'I -4 -2'
_cell_length_a 4.0938
_cell_length_b 4.0938
_cell_length_c 7.5808
_cell_angle_alpha 90.00
_cell_angle_beta 90.00
_cell_angle_gamma 90.00
loop_
_atom_site_label
_atom_site_type_symbol
_atom_site_fract_x
_atom_site_fract_y
_atom_site_fract_z
In1 In 0.0000 0.0000 0.0000
Ni1 Ni 0.0000 0.5000 0.2500
Ag1 Ag 0.0000 0.0000 0.5000
Ag2 Ag 0.0000 0.5000 0.7500

---

Record 12
# InNi2AgSn (GGA-PBEsol, relaxed)
# ΔE_f: 936.7 meV per atom
# Crystal system: tetragonal
# Electronic total energy: -3.637 eV per atom
# ρ: 7.10 g cm⁻³
data_InNi2AgSn
_chemical_formula_sum 'In1 Ni2 Ag1 Sn1'
_space_group_name_H-M_alt 'P 4/m m m'
_space_group_IT_number 123
_space_group_name_Hall '-P 4 2'
_cell_length_a 4.6821
_cell_length_b 4.6821
_cell_length_c 4.8928
_cell_angle_alpha 90.00
_cell_angle_beta 90.00
_cell_angle_gamma 90.00
loop_
_atom_site_label
_atom_site_type_symbol
_atom_site_fract_x
_atom_site_fract_y
_atom_site_fract_z
In1 In 0.0000 0.0000 0.0000
Ni1 Ni 0.0000 0.5000 0.5000
Ag1 Ag 0.0000 0.0000 0.5000
Sn1 Sn 0.5000 0.5000 0.0000

---

> Among the records above, which one has the highest electronic total energy?

NaInAg2Pd